This record from Alexandria via LeMat-Bulk describes K5Li after structural relaxation. The functional is PBE-GGA.

a = 11.7305 Å, b = 11.7305 Å, c = 11.7305 Å
α = 90.00°, β = 90.00°, γ = 90.00°
Space group F-43m (No. 216)
One atom of each set of equivalent atoms:
K1 0.0000 0.0000 0.0000 (multiplicity 4)
K2 0.1244 0.1244 0.6244 (multiplicity 16)
Li1 0.2500 0.2500 0.2500 (multiplicity 4)

Properties
The value obtained for the formation energy is 0.159 eV/atom. The calculation puts the total energy at -0.0790 Ry per atom. The energy relative to the lowest polymorph listed for this composition is 0.100 eV/atom. Its crystal system is cubic.

***

This record from Alexandria via LeMat-Bulk describes KLi3 after structural relaxation. The functional is PBE-GGA.

a = 6.3476 Å, b = 6.3476 Å, c = 6.3476 Å
α = 90.00°, β = 90.00°, γ = 90.00°
Space group Pm-3n (No. 223)
One atom of each set of equivalent atoms:
K1 0.0000 0.0000 0.0000 (multiplicity 2)
Li1 0.0000 0.2500 0.5000 (multiplicity 6)

Properties
The value obtained for the formation energy is 0.190 eV/atom. The calculation puts the total energy at -0.1117 Ry per atom. Its crystal system is cubic.

***

This record from Alexandria via LeMat-Bulk describes KLi2 after structural relaxation. The functional is PBE-GGA.

a = 4.4314 Å, b = 5.0204 Å, c = 11.3890 Å
α = 82.11°, β = 88.03°, γ = 66.54°
Space group P-1 (No. 2)
One atom of each set of equivalent atoms:
K1 0.1735 0.1645 0.1653 (multiplicity 2)
Li1 0.1631 0.1686 0.5329 (multiplicity 2)
Li2 0.4916 0.5056 0.6247 (multiplicity 2)

Properties
The value obtained for the formation energy is 0.101 eV/atom. The calculation puts the total energy at -0.1132 Ry per atom. The energy relative to the lowest polymorph listed for this composition is 0.016 eV/atom. Its crystal system is triclinic.

***

This record from Alexandria via LeMat-Bulk describes KLi after structural relaxation. The functional is PBE-GGA.

a = 4.1944 Å, b = 4.2395 Å, c = 10.2701 Å
α = 90.00°, β = 90.00°, γ = 90.00°
Space group Pmmn (No. 59, origin choice 2)
One atom of each set of equivalent atoms:
K1 0.2500 0.2500 0.1880 (multiplicity 2)
Li1 0.2500 0.7500 0.4975 (multiplicity 2)

Properties
The value obtained for the formation energy is 0.129 eV/atom. The calculation puts the total energy at -0.1012 Ry per atom. Its crystal system is orthorhombic.

***

This record from Alexandria via LeMat-Bulk describes KLi after structural relaxation. The functional is PBE-GGA.

a = 3.9730 Å, b = 3.9730 Å, c = 13.3663 Å
α = 90.00°, β = 90.00°, γ = 120.00°
Space group P6_3mc (No. 186)
One atom of each set of equivalent atoms:
K1 0.3333 0.6667 0.0000 (multiplicity 2)
Li1 0.3333 0.6667 0.7346 (multiplicity 2)

Properties
The value obtained for the formation energy is 0.262 eV/atom. The calculation puts the total energy at -0.0914 Ry per atom. Its crystal system is hexagonal.

***

This record from Alexandria via LeMat-Bulk describes KLi after structural relaxation. The functional is PBE-GGA.

a = 4.0937 Å, b = 20.9654 Å, c = 4.1557 Å
α = 90.00°, β = 90.00°, γ = 90.00°
Space group Cmcm (No. 63)
One atom of each set of equivalent atoms:
K1 0.0000 0.0987 0.2500 (multiplicity 4)
Li1 0.0000 0.2728 0.2500 (multiplicity 4)

Properties
The value obtained for the formation energy is 0.103 eV/atom. The calculation puts the total energy at -0.1031 Ry per atom. Its crystal system is orthorhombic.